(1)
# Sr6Li2Pt

A relaxed structure of Sr6Li2Pt (PBE-GGA, the Alexandria database).

The calculation puts the total energy at -43.99 eV per cell. For the energy relative to the elements, the calculation gives -0.2261 eV/atom.

The space group is P2_1/c (No. 14) and the conventional cell measures 7.6076, 8.8662 and 13.7105 Å, with angles of 90.00, 123.56 and 90.00 degrees. Symmetry generates all atoms from Sr at (0.1191, 0.1734, 0.4488), Sr at (0.2907, 0.6962, 0.4469), Sr at (0.3674, 0.0254, 0.2506), Li at (0.1916, 0.1075, 0.7559) and Pt at (0.5000, 0.0000, 0.5000).

=====

(2)
# SrLi2Pt

A relaxed structure of SrLi2Pt (PBE-GGA, the Alexandria database).

The calculation puts the total energy at -49.43 eV per cell. For the energy above the lowest structure with this stoichiometry, the calculation gives 1.10 eV/f.u. For the energy relative to the elements, the calculation gives -0.2016 eV/atom.

The space group is Fmmm (No. 69) and the conventional cell measures 5.9011, 6.0741 and 10.3627 Å, with angles of 90.00, 90.00 and 90.00 degrees. Symmetry generates all atoms from Sr at (0.0000, 0.0000, 0.0000), Li at (0.0000, 0.2500, 0.2500) and Pt at (0.0000, 0.0000, 0.5000).

=====

(3)
# SrLi2Pt

A relaxed structure of SrLi2Pt (PBE-GGA, the Alexandria database).

The calculation puts the total energy at -51.50 eV per cell. For the energy above the lowest structure with this stoichiometry, the calculation gives 0.58 eV/f.u. For the energy relative to the elements, the calculation gives -0.3313 eV/atom.

The space group is Fm-3m (No. 225) and the conventional cell measures 6.8192, 6.8192 and 6.8192 Å, with angles of 90.00, 90.00 and 90.00 degrees. Symmetry generates all atoms from Sr at (0.0000, 0.0000, 0.0000), Li at (0.2500, 0.2500, 0.2500) and Pt at (0.0000, 0.0000, 0.5000).

=====

(4)
# Sr3Li9Pt2

A relaxed structure of Sr3Li9Pt2 (PBE-GGA, the Alexandria database).

The calculation puts the total energy at -75.48 eV per cell. For the energy relative to the elements, the calculation gives -0.2421 eV/atom.

The space group is Immm (No. 71) and the conventional cell measures 4.6224, 10.5991 and 13.5117 Å, with angles of 90.00, 90.00 and 90.00 degrees. Symmetry generates all atoms from Sr at (0.0000, 0.0000, 0.0000), Sr at (0.0000, 0.0000, 0.3376), Li at (0.0000, 0.2771, 0.1015), Li at (0.0000, 0.3399, 0.3283), Li at (0.0000, 0.5000, 0.0000) and Pt at (0.0000, 0.2213, 0.5000).

=====

no.,density of states at the Fermi level (states/eV per cell)
1,13.86
2,5.21
3,8.16
4,9.92